1.
The following is a DFT calculation (PBE) of an optimized crystal structure of Na8TlAs2.

a = 4.9253 Å, b = 8.7511 Å, c = 8.4020 Å
α = 121.38°, β = 107.04°, γ = 90.00°
Positions (direct):
Na  0.6639  0.8711  0.3278
Na  0.3361  0.5433  0.6722
Na  0.1545  0.1545  0.3090
Na  0.0000  0.3239  0.0000
Na  0.8455  0.8455  0.6910
Na  0.6639  0.4567  0.3278
Na  0.3361  0.1289  0.6722
Na  0.0000  0.6761  0.0000
Tl  0.5000  0.0000  0.0000
As  0.2050  0.7050  0.4100
As  0.7950  0.2950  0.5900

Calculated values
- Space group: No. 71
- E: -2.2944 eV/atom
- Energy relative to the elements: -0.27 eV per atom

***

2.
The following is a DFT calculation (PBE) of an optimized crystal structure of LaMnAs.

a = 4.9710 Å, b = 4.9710 Å, c = 4.9710 Å
α = 60.00°, β = 60.00°, γ = 60.00°
Each line ends with the local moment (μB).
Positions (direct):
As  0.5000  0.5000  0.5000  0.10
La  0.7500  0.7500  0.7500  0.03
Mn  0.0000  0.0000  0.0000  4.08

Calculated values
- Space group: No. 216
- E: -6.0673 eV/atom
- Energy relative to the elements: 0.18 eV per atom

***

3.
The following is a DFT calculation (PBE) of an optimized crystal structure of BaIrCl.

a = 7.5323 Å, b = 7.5326 Å, c = 3.4623 Å
α = 76.71°, β = 76.72°, γ = 26.57°
Each line ends with the local moment (μB).
Positions (direct):
Ir  0.6518  0.6518  0.3482  0.87
Ba  0.9902  0.9902  0.0098  -0.02
Cl  0.3581  0.3581  0.6419  0.00

Calculated values
- Space group: No. 107
- E: -4.1348 eV/atom
- E_form (uncorrected): 0.2 eV per formula unit

***

4.
The following is a DFT calculation (PBE) of an optimized crystal structure of Fe5I12Cl3.

a = 15.1094 Å, b = 15.1094 Å, c = 15.1094 Å
α = 109.47°, β = 109.47°, γ = 109.47°
Each line ends with the local moment (μB).
Positions (direct):
Cl  0.7500  0.3750  0.1250  -0.03
Cl  0.8750  0.7500  0.1250  -0.03
Cl  0.3750  0.7500  0.6250  -0.03
Cl  0.2500  0.1250  0.3750  -0.03
Cl  0.8750  0.1250  0.2500  -0.03
Cl  0.3750  0.6250  0.2500  -0.03
Cl  0.6250  0.3750  0.7500  -0.03
Cl  0.1250  0.8750  0.7500  -0.03
Cl  0.7500  0.8750  0.6250  -0.03
Cl  0.6250  0.2500  0.3750  -0.03
Cl  0.1250  0.2500  0.8750  -0.03
Cl  0.2500  0.6250  0.8750  -0.03
Fe  0.1250  0.3750  0.2500  3.25
Fe  0.0000  0.5000  0.0000  -3.23
Fe  0.0000  0.0000  0.0000  -3.23
Fe  0.3750  0.2500  0.1250  3.25
Fe  0.5000  0.0000  0.5000  -3.23
Fe  0.5000  0.5000  0.0000  -3.23
Fe  0.1250  0.7500  0.3750  3.25
Fe  0.7500  0.1250  0.8750  3.25
Fe  0.7500  0.6250  0.3750  3.25
Fe  0.3750  0.1250  0.7500  3.25
Fe  0.6250  0.8750  0.2500  3.25
Fe  0.5000  0.5000  0.5000  -3.23
Fe  0.5000  0.0000  0.0000  -3.23
Fe  0.0000  0.0000  0.5000  -3.23
Fe  0.2500  0.3750  0.6250  3.25
Fe  0.2500  0.8750  0.1250  3.25
Fe  0.0000  0.5000  0.5000  -3.23
Fe  0.8750  0.2500  0.6250  3.25
Fe  0.6250  0.7500  0.8750  3.25
Fe  0.8750  0.6250  0.7500  3.25
I  0.6997  0.1093  0.0163  0.07
I  0.3166  0.5163  0.4070  0.07
I  0.9837  0.3907  0.3003  0.07
I  0.5163  0.1997  0.1093  0.07
I  0.5904  0.6997  0.6834  0.07
I  0.9837  0.5930  0.1834  0.07
I  0.3166  0.8003  0.4096  0.07
I  0.0930  0.9096  0.1093  0.07
I  0.5930  0.9837  0.6834  0.07
I  0.6997  0.5904  0.1834  0.07
I  0.8003  0.4837  0.3907  0.07
I  0.8166  0.9070  0.0163  0.07
I  0.1093  0.6997  0.5163  0.07
I  0.3907  0.4070  0.0904  0.07
I  0.0904  0.9070  0.3907  0.07
I  0.4096  0.1093  0.5930  0.07
I  0.0904  0.1834  0.1997  0.07
I  0.4837  0.6834  0.0930  0.07
I  0.8166  0.9096  0.3003  0.07
I  0.1093  0.4096  0.0930  0.07
I  0.3907  0.9837  0.8003  0.07
I  0.5930  0.6093  0.4096  0.07
I  0.9070  0.8166  0.5163  0.07
I  0.8003  0.3166  0.9096  0.07
I  0.4070  0.3907  0.5904  0.07
I  0.0930  0.1834  0.4837  0.07
I  0.1997  0.6834  0.0904  0.07
I  0.1834  0.0904  0.6997  0.07
I  0.6093  0.0163  0.1997  0.07
I  0.8907  0.5904  0.9070  0.07
I  0.5163  0.3166  0.9070  0.07
I  0.5904  0.8907  0.4070  0.07
I  0.9096  0.8166  0.8003  0.07
I  0.9096  0.0930  0.6093  0.07
I  0.8907  0.3003  0.4837  0.07
I  0.1834  0.0930  0.9837  0.07
I  0.6093  0.5930  0.9096  0.07
I  0.4070  0.0163  0.3166  0.07
I  0.3003  0.4096  0.8166  0.07
I  0.1997  0.5163  0.6093  0.07
I  0.9070  0.0904  0.8907  0.07
I  0.6834  0.1997  0.5904  0.07
I  0.4837  0.8003  0.8907  0.07
I  0.0163  0.4070  0.8166  0.07
I  0.4096  0.3003  0.3166  0.07
I  0.0163  0.6093  0.6997  0.07
I  0.6834  0.4837  0.5930  0.07
I  0.3003  0.8907  0.9837  0.07

Calculated values
- Space group: No. 230
- E: -3.3245 eV/atom
- E_form (uncorrected): 0.0 eV per formula unit

***

5.
The following is a DFT calculation (PBE) of an optimized crystal structure of Li2CrIr.

a = 3.7042 Å, b = 2.7593 Å, c = 6.2693 Å
α = 64.46°, β = 90.00°, γ = 90.00°
Each line ends with the local moment (μB).
Positions (direct):
Cr  0.0000  0.4526  0.5449  2.16
Ir  0.5000  0.7837  0.7170  -0.17
Li  0.0000  0.0025  0.0002  -0.01
Li  0.5000  0.2612  0.2379  0.00

Calculated values
- Space group: No. 6
- E: -5.5335 eV/atom
- Energy relative to the elements: 0.04 eV per atom

***

6.
The following is a DFT calculation (PBE) of an optimized crystal structure of Ac6AlHg.

a = 5.6851 Å, b = 5.6851 Å, c = 10.3903 Å
α = 74.12°, β = 74.12°, γ = 90.00°
Positions (direct):
Ac  0.7520  0.7520  0.4961
Ac  0.6031  0.1031  0.7939
Ac  0.1031  0.6031  0.7939
Ac  0.3969  0.8969  0.2061
Ac  0.2480  0.2480  0.5039
Ac  0.8969  0.3969  0.2061
Al  0.0000  0.0000  0.0000
Hg  0.5000  0.5000  0.0000

Calculated values
- Space group: No. 139
- E: -3.7455 eV/atom
- Energy relative to the elements: -0.16 eV per atom

***

7.
The following is a DFT calculation (PBE) of an optimized crystal structure of LaNp2Al9.

a = 5.5506 Å, b = 5.5506 Å, c = 9.4221 Å
α = 72.87°, β = 72.87°, γ = 60.00°
Each line ends with the local moment (μB).
Positions (direct):
La  0.0000  0.0000  0.0000  -0.04
Np  0.8552  0.8552  0.4344  3.99
Np  0.1448  0.1448  0.5656  3.99
Al  0.6651  0.6651  0.0046  0.00
Al  0.3349  0.3349  0.9954  0.00
Al  0.5000  0.5000  0.5000  -0.02
Al  0.4128  0.4128  0.2522  -0.01
Al  0.9221  0.4128  0.2522  -0.01
Al  0.4128  0.9221  0.2522  -0.01
Al  0.5872  0.5872  0.7478  -0.01
Al  0.5872  0.0779  0.7478  -0.01
Al  0.0779  0.5872  0.7478  -0.01

Calculated values
- Space group: No. 166
- E: -5.5810 eV/atom
- Energy relative to the elements: -0.21 eV per atom

***

8.
The following is a DFT calculation (PBE) of an optimized crystal structure of TcRu2Se.

a = 4.3644 Å, b = 4.3644 Å, c = 4.3644 Å
α = 60.00°, β = 60.00°, γ = 60.00°
Positions (direct):
Ru  0.0000  0.0000  0.0000
Ru  0.2500  0.2500  0.2500
Se  0.5000  0.5000  0.5000
Tc  0.7500  0.7500  0.7500

Calculated values
- Space group: No. 216
- E: -7.6597 eV/atom
- E_form (uncorrected): 1.8 eV per formula unit

***

9.
The following is a DFT calculation (PBE) of an optimized crystal structure of ZrMnNb2Cu.

a = 4.6094 Å, b = 4.8064 Å, c = 4.6094 Å
α = 90.00°, β = 90.00°, γ = 90.00°
Positions (direct):
Nb  0.0000  0.0000  0.5000
Nb  0.5000  0.0000  0.0000
Mn  0.5000  0.5000  0.5000
Cu  0.0000  0.0000  0.0000
Zr  0.0000  0.5000  0.0000

Calculated values
- Space group: No. 123
- E: -7.0046 eV/atom
- Energy relative to the elements: 1.39 eV per atom

***

10.
The following is a DFT calculation (PBE) of an optimized crystal structure of Y4C5.

a = 7.2437 Å, b = 7.2437 Å, c = 6.0526 Å
α = 90.00°, β = 90.00°, γ = 120.00°
Positions (direct):
Y  0.0000  0.0000  0.0000
Y  0.0000  0.0000  0.5000
Y  0.0000  0.4077  0.2500
Y  0.5923  0.5923  0.2500
Y  0.4077  0.0000  0.2500
Y  0.0000  0.5923  0.7500
Y  0.4077  0.4077  0.7500
Y  0.5923  0.0000  0.7500
C  0.0000  0.7359  0.2500
C  0.2641  0.2641  0.2500
C  0.7359  0.0000  0.2500
C  0.0000  0.2641  0.7500
C  0.7359  0.7359  0.7500
C  0.2641  0.0000  0.7500
C  0.6667  0.3333  0.0000
C  0.3333  0.6667  0.5000
C  0.3333  0.6667  0.0000
C  0.6667  0.3333  0.5000

Calculated values
- Space group: No. 193
- E: -7.2228 eV/atom
- Energy relative to the elements: 0.77 eV per atom

***

11.
The following is a DFT calculation (PBE) of an optimized crystal structure of LaTl2Cd2Te4.

a = 4.5700 Å, b = 8.5709 Å, c = 8.6189 Å
α = 106.41°, β = 105.37°, γ = 90.00°
Positions (direct):
La  0.0000  0.0000  0.0000
Tl  0.1270  0.5486  0.2540
Tl  0.8730  0.4514  0.7460
Cd  0.6667  0.9811  0.3334
Cd  0.3333  0.0189  0.6666
Te  0.2078  0.2027  0.4156
Te  0.7922  0.7973  0.5844
Te  0.5058  0.7344  0.0116
Te  0.4942  0.2656  0.9884

Calculated values
- Space group: No. 12
- E: -3.2938 eV/atom
- E_form (uncorrected): -5.6 eV per formula unit

***

12.
The following is a DFT calculation (PBE) of an optimized crystal structure of PmNd3As3.

a = 9.0284 Å, b = 9.0284 Å, c = 9.0284 Å
α = 90.00°, β = 90.00°, γ = 90.00°
Positions (direct):
Pm  0.0661  0.5661  0.9339
Pm  0.9339  0.0661  0.5661
Pm  0.4339  0.4339  0.4339
Pm  0.5661  0.9339  0.0661
Nd  0.8165  0.3165  0.1835
Nd  0.9341  0.9341  0.9341
Nd  0.8162  0.6838  0.3162
Nd  0.1835  0.8165  0.3165
Nd  0.1838  0.1838  0.1838
Nd  0.3162  0.8162  0.6838
Nd  0.0659  0.4341  0.5659
Nd  0.3165  0.1835  0.8165
Nd  0.6838  0.3162  0.8162
Nd  0.6835  0.6835  0.6835
Nd  0.5659  0.0659  0.4341
Nd  0.4341  0.5659  0.0659
As  0.7510  0.6257  0.9997
As  0.8743  0.0003  0.2510
As  0.9997  0.7510  0.6257
As  0.1257  0.5003  0.2490
As  0.2490  0.1257  0.5003
As  0.2510  0.8743  0.0003
As  0.0003  0.2510  0.8743
As  0.3743  0.4997  0.7490
As  0.5003  0.2490  0.1257
As  0.6257  0.9997  0.7510
As  0.7490  0.3743  0.4997
As  0.4997  0.7490  0.3743

Calculated values
- Space group: No. 198
- E: -5.9866 eV/atom
- Energy relative to the elements: -1.27 eV per atom